# NiRuO3, optimized geometry, DFT PBE+U
data_NiRuO3
_chemical_formula_sum 'Ni1 Ru1 O3'
_symmetry_space_group_name_H-M 'P m -3 m'
_symmetry_Int_Tables_number 221
_symmetry_space_group_name_Hall '-P 4 2 3'
_cell_length_a 3.7036
_cell_length_b 3.7036
_cell_length_c 3.7036
_cell_angle_alpha 90.00
_cell_angle_beta 90.00
_cell_angle_gamma 90.00
loop_
_atom_site_label
_atom_site_fract_x
_atom_site_fract_y
_atom_site_fract_z
_atom_site_occupancy
Ni1 0.0000 0.0000 0.0000 1
Ru1 0.5000 0.5000 0.5000 1
O1 0.0000 0.0000 0.5000 1
# * energy: -25.9 eV per cell
# * M_tot: 5.80 μB/f.u.
# * ρ: 6.8 g/cm³